This record from Alexandria via LeMat-Bulk describes a geometry-optimized MgFeF structure. The functional is PBE+U.

The space group is R-3m (No. 166, hexagonal axes) and the conventional cell measures 3.0604, 3.0604 and 34.7574 Å, with angles of 90.00, 90.00 and 120.00 degrees. The inequivalent atoms are Mg at (0.0000, 0.0000, 0.0712), Fe at (0.0000, 0.0000, 0.1931) and F at (0.0000, 0.0000, 0.3762).

The calculation puts the total energy at -75.3 eV for the cell shown.